No. 1
VASP calculation (PBE) on a relaxed Li2Tm2Ni15 crystal.

Structure (extended XYZ):
```
19
Lattice="6.248 -0.028 -0.025 0.782 6.199 -0.025 0.782 0.687 6.161" Properties=species:S:1:pos:R:3 pbc="T T T"
Li 0.733 0.644 0.574
Li 7.080 6.214 5.537
Ni 4.738 4.159 0.949
Ni 0.782 2.377 4.264
Ni 2.023 4.514 4.022
Ni 5.790 2.344 2.088
Ni 0.391 0.343 3.081
Ni 4.573 0.191 1.871
Ni 3.075 2.699 5.162
Ni 0.782 4.509 1.871
Ni 2.458 4.290 -0.025
Ni 4.738 1.420 4.022
Ni 0.391 3.100 -0.013
Ni 4.573 1.881 -0.025
Ni 3.075 5.437 2.088
Ni 2.458 0.467 4.264
Ni 3.124 -0.014 -0.013
Tm 2.687 2.358 2.101
Tm 5.127 4.500 4.009
```

## Properties
SG = R-3m (166)
Energy of formation = -0.239 eV/atom
Calculated density = 8.56 g cm⁻³

=====

No. 2
VASP calculation (PBE) on a relaxed Li2TmNi9 crystal.

Structure (extended XYZ):
```
24
Lattice="-4.417 0.356 1.557 -1.848 -6.922 -3.661 2.017 -4.056 6.649" Properties=species:S:1:pos:R:3 pbc="T T T"
Ni -2.387 -7.004 1.914
Ni -3.572 -2.673 1.213
Ni -0.677 -7.949 3.331
Ni -2.349 -9.529 2.601
Ni -1.900 -1.092 1.944
Ni -1.590 -5.735 3.885
Ni -3.133 -3.283 -1.052
Ni -1.200 -1.850 4.103
Ni -0.032 -3.927 4.242
Ni -3.548 -5.546 -1.712
Ni -1.296 -2.856 0.411
Ni -2.308 -3.743 5.045
Ni -1.862 -3.617 2.631
Ni -2.659 -4.887 0.660
Ni -1.941 -6.878 -0.500
Ni -4.217 -6.694 0.303
Ni -0.701 -5.076 6.257
Ni -2.953 -7.765 4.134
Li 1.073 -6.262 4.477
Li -0.905 -4.716 -1.489
Li 0.566 -2.355 2.146
Li -0.398 -8.622 0.842
Tm 0.084 -5.489 1.494
Tm 0.000 0.000 0.000
```

## Properties
SG = P4/mbm (127)
Energy of formation = -0.163 eV/atom
Calculated density = 7.77 g cm⁻³

=====

No. 3
VASP calculation (PBE) on a relaxed LiTmNi10 crystal.

Structure (extended XYZ):
```
12
Lattice="3.970 0.000 0.000 0.000 4.772 0.000 0.000 0.000 8.254" Properties=species:S:1:pos:R:3 pbc="T T T"
Ni 0.000 0.000 5.442
Ni 1.985 3.586 2.067
Ni 0.000 2.386 1.466
Ni 1.985 1.186 6.187
Ni 0.000 2.386 6.788
Ni 1.985 1.186 2.067
Ni 0.000 0.000 2.812
Ni 1.985 2.386 0.000
Ni 1.985 0.000 4.127
Ni 1.985 3.586 6.187
Li 0.000 2.386 4.127
Tm 0.000 0.000 0.000
```

## Properties
SG = Pmmm (47)
Energy of formation = -0.107 eV/atom
Calculated density = 8.10 g cm⁻³

=====

No. 4
VASP calculation (PBE) on a relaxed LiTm3Ni8 crystal.

Structure (extended XYZ):
```
12
Lattice="-4.908 0.019 -0.678 -2.922 -2.682 2.970 -3.280 5.411 5.792" Properties=species:S:1:pos:R:3 pbc="T T T"
Ni -9.599 1.212 6.124
Ni -7.137 1.202 6.464
Ni -2.902 1.855 2.954
Ni -4.024 -0.151 2.079
Ni -6.508 -0.142 1.736
Ni -8.457 3.236 7.001
Ni -8.133 2.557 4.634
Ni -5.503 -1.509 3.582
Li -8.090 -0.216 4.246
Tm -5.542 1.248 3.942
Tm -7.847 -2.504 2.419
Tm -5.801 3.687 5.889
```

## Properties
SG = R3m (160)
Energy of formation = -0.432 eV/atom
Calculated density = 9.50 g cm⁻³

=====

No. 5
VASP calculation (PBE) on a relaxed LiTmZnNi crystal.

Structure (extended XYZ):
```
4
Lattice="-0.793 4.058 1.793 1.030 0.798 4.314 3.443 2.720 1.029" Properties=species:S:1:pos:R:3 pbc="T T T"
Ni 2.760 5.682 5.352
Tm 1.840 3.788 3.568
Li 0.920 1.894 1.784
Zn 0.000 0.000 0.000
```

## Properties
SG = F-43m (216)
Energy of formation = -0.218 eV/atom
Calculated density = 7.70 g cm⁻³

=====

No. 6
VASP calculation (PBE) on a relaxed LiTmZrNi crystal.

Structure (extended XYZ):
```
4
Lattice="4.728 0.000 0.000 2.364 4.095 0.000 2.364 1.365 3.861" Properties=species:S:1:pos:R:3 pbc="T T T"
Tm 7.092 4.095 2.895
Zr 2.364 1.365 0.965
Li 4.728 2.730 1.930
Ni 0.000 0.000 0.000
```

## Properties
SG = F-43m (216)
Energy of formation = -0.051 eV/atom
Calculated density = 7.24 g cm⁻³

=====

No. 7
VASP calculation (PBE) on a relaxed LiU2Ni9 crystal.

Structure (extended XYZ):
```
12
Lattice="-1.424 -2.378 -3.948 -3.805 -2.958 0.207 -6.615 4.352 -3.183" Properties=species:S:1:pos:R:3 pbc="T T T"
Ni -4.534 -2.338 -4.329
Ni -7.310 1.354 -2.595
Ni -3.820 -1.145 -2.348
Ni -5.728 -2.629 -2.244
Ni -8.025 0.161 -4.575
Ni -10.094 0.785 -5.674
Ni -1.750 -1.770 -1.250
Ni -5.922 -0.492 -3.462
Ni -6.116 1.645 -4.679
Li 0.000 0.000 0.000
U -7.255 -2.786 -4.546
U -4.589 1.802 -2.378
```

## Properties
SG = R-3m (166)
Energy of formation = -0.131 eV/atom
Calculated density = 10.33 g cm⁻³

=====

No. 8
VASP calculation (PBE) on a relaxed Li2UNi9 crystal.

Structure (extended XYZ):
```
12
Lattice="4.574 0.000 1.361 2.085 4.072 1.361 0.015 0.009 8.314" Properties=species:S:1:pos:R:3 pbc="T T T"
Li 0.986 0.603 5.053
Li 5.688 3.478 5.984
Ni 5.062 1.689 3.928
Ni 3.912 2.392 7.793
Ni 3.337 2.041 5.518
Ni 2.763 1.689 3.244
Ni 4.438 2.714 1.820
Ni 2.237 1.368 9.217
Ni 2.864 0.345 7.109
Ni 3.810 3.736 3.928
Ni 1.612 2.392 7.109
U 0.000 0.000 0.000
```

## Properties
SG = R-3m (166)
Energy of formation = -0.112 eV/atom
Calculated density = 8.37 g cm⁻³

=====

No. 9
VASP calculation (PBE) on a relaxed Li2U2Ni15 crystal.

Structure (extended XYZ):
```
19
Lattice="-4.589 3.374 -2.560 -4.749 -2.551 3.153 -0.429 4.330 4.479" Properties=species:S:1:pos:R:3 pbc="T T T"
Ni -6.203 1.244 1.118
Ni -5.699 0.508 3.300
Ni -4.068 4.646 1.773
Ni -5.621 3.437 0.476
Ni -1.747 4.028 2.249
Ni -3.271 3.677 -0.330
Ni -2.295 1.687 -1.280
Ni -4.146 1.717 4.597
Ni -3.380 -0.371 3.573
Ni -0.214 2.165 2.240
Ni -3.564 3.909 3.955
Ni -1.797 2.150 4.059
Ni -4.640 1.497 -0.750
Ni -2.374 -1.276 1.577
Ni -4.698 -0.674 1.343
Li -0.887 0.468 0.461
Li -8.879 4.685 4.612
U -3.345 1.765 1.738
U -6.422 3.388 3.335
```

## Properties
SG = R-3m (166)
Energy of formation = -0.154 eV/atom
Calculated density = 9.57 g cm⁻³

=====

No. 10
VASP calculation (PBE) on a relaxed LiU2Ni9 crystal.

Structure (extended XYZ):
```
12
Lattice="3.807 0.000 0.000 0.000 3.807 0.000 0.000 0.000 10.751" Properties=species:S:1:pos:R:3 pbc="T T T"
Ni 1.904 1.904 3.523
Ni 0.000 1.904 9.115
Ni 0.000 1.904 1.636
Ni 1.904 0.000 9.115
Ni 1.904 1.904 7.229
Ni 1.904 0.000 5.376
Ni 0.000 1.904 5.376
Ni 1.904 1.904 0.000
Ni 1.904 0.000 1.636
U 0.000 0.000 3.394
U 0.000 0.000 7.357
Li 0.000 0.000 0.000
```

## Properties
SG = P4/mmm (123)
Energy of formation = -0.140 eV/atom
Calculated density = 10.77 g cm⁻³

=====

No. 11
VASP calculation (PBE) on a relaxed LiUNi14 crystal.

Structure (extended XYZ):
```
16
Lattice="5.101 -0.011 0.000 0.011 5.101 0.000 0.000 0.000 7.140" Properties=species:S:1:pos:R:3 pbc="T T T"
U 1.917 1.909 3.570
Ni 3.206 3.192 5.423
Ni 1.922 4.459 0.000
Ni 4.473 4.454 0.000
Ni 0.634 3.197 5.423
Ni 1.922 4.459 3.570
Ni 4.467 1.903 0.000
Ni 1.917 1.909 0.000
Ni 3.206 3.192 1.717
Ni 0.628 0.626 1.717
Ni 4.467 1.903 3.570
Ni 3.200 0.620 1.717
Ni 3.200 0.620 5.423
Ni 0.634 3.197 1.717
Ni 0.628 0.626 5.423
Li 4.473 4.454 3.570
```

## Properties
SG = P4/mmm (123)
Energy of formation = -0.061 eV/atom
Calculated density = 9.53 g cm⁻³

=====

No. 12
VASP calculation (PBE) on a relaxed LiUNi crystal.

Structure (extended XYZ):
```
6
Lattice="-2.331 -0.621 -2.276 -0.451 -2.708 -1.861 -8.848 -6.770 6.025" Properties=species:S:1:pos:R:3 pbc="T T T"
Ni -8.396 -6.609 4.791
Ni -5.267 -4.749 -0.029
Li -9.313 -8.272 0.581
Li -7.132 -6.415 0.042
U -1.476 -1.539 -1.054
U -3.339 -3.049 -0.210
```

## Properties
SG = C2/m (12)
Energy of formation = 0.093 eV/atom
Calculated density = 9.78 g cm⁻³